DFT (PBE-GGA) results for a geometry-optimized LiHo2ScS5 structure.

Properties
For the size of the total moment, the calculation gives 0.0 μB/cell. For the uncorrected formation energy, the calculation gives -1.842 eV/atom. Its symmetry is Cmc2_1, No. 36. The value obtained for the final energy is -6.0686 eV per atom.

abc: 3.813 8.160 11.546
angles: 90.00 90.00 103.51
Fractional positions:
Li 0.518 0.035 0.977
Li 0.482 0.965 0.477
Ho 0.872 0.743 0.795
Ho 0.106 0.212 0.685
Ho 0.128 0.257 0.295
Ho 0.894 0.788 0.185
Sc 0.802 0.604 0.505
Sc 0.198 0.396 0.005
S 0.362 0.723 0.000
S 0.693 0.386 0.851
S 0.498 0.996 0.780
S 0.282 0.564 0.660
S 0.948 0.896 0.571
S 0.638 0.277 0.500
S 0.307 0.614 0.351
S 0.502 0.004 0.280
S 0.718 0.436 0.160
S 0.052 0.104 0.071